This record from the Alexandria database describes crystalline BeGaAs2 at its relaxed geometry. The functional is PBEsol.

```
BeGaAs2
1.0
-2.674 2.674 5.451
2.674 -2.674 5.451
2.674 2.674 -5.451
Be Ga As
2 2 4
Direct
0.000 0.000 0.000
0.750 0.250 0.500
0.250 0.750 0.500
0.500 0.500 0.000
0.090 0.625 0.965
0.375 0.340 0.465
0.660 0.125 0.035
0.875 0.910 0.535
```

The value obtained for the density is 4.9 Mg/m³. The total magnetization comes out at 0.000 μB/cell. The value obtained for the uncorrected energy is -4.4921 eV per atom. The formation energy comes out at -0.42 eV/f.u.